Entry 1:
Compound: Zn2AuCl
Source: the Alexandria database
Functional: PBE-GGA
Structure: optimized geometry

Calculated values
V: 19.41 Å³ per atom
uncorrected energy: -1.650 eV per atom
distance to the lowest polymorph of the same formula: 564.8 meV per atom

abc: 4.7884 4.7884 4.7884
angles: 60.00 60.00 60.00
Fractional positions:
Au (0.5000, 0.5000, 0.5000)
Zn (0.0000, 0.0000, 0.0000)
Zn (0.2500, 0.2500, 0.2500)
Cl (0.7500, 0.7500, 0.7500)

---

Entry 2:
Compound: ZnAu2Cl
Source: the Alexandria database
Functional: PBE-GGA
Structure: optimized geometry

Calculated values
V: 19.35 Å³ per atom
uncorrected energy: -2.454 eV per atom
distance to the lowest polymorph of the same formula: 258.8 meV per atom

abc: 5.5675 5.5675 5.7238
angles: 59.85 59.85 30.73
Fractional positions:
Au (0.5158, 0.5158, 0.4818)
Au (0.9842, 0.9842, 0.0182)
Zn (0.2500, 0.2500, 0.2500)
Cl (0.7500, 0.7500, 0.7500)

---

Entry 3:
Compound: Zn2AuCl
Source: the Alexandria database
Functional: PBE-GGA
Structure: optimized geometry

Calculated values
V: 21.70 Å³ per atom
uncorrected energy: -2.214 eV per atom
distance to the lowest polymorph of the same formula: 0.0 meV per atom

abc: 4.6358 4.6358 7.2835
angles: 56.77 56.77 43.35
Fractional positions:
Zn (0.0387, 0.0387, 0.0867)
Zn (0.4613, 0.4613, 0.4133)
Cl (0.7500, 0.7500, 0.7500)
Au (0.2500, 0.2500, 0.2500)

---

Copy entry 1 word for word.
Compound: Zn2AuCl
Source: the Alexandria database
Functional: PBE-GGA
Structure: optimized geometry

Calculated values
V: 19.41 Å³ per atom
uncorrected energy: -1.650 eV per atom
distance to the lowest polymorph of the same formula: 564.8 meV per atom

abc: 4.7884 4.7884 4.7884
angles: 60.00 60.00 60.00
Fractional positions:
Au (0.5000, 0.5000, 0.5000)
Zn (0.0000, 0.0000, 0.0000)
Zn (0.2500, 0.2500, 0.2500)
Cl (0.7500, 0.7500, 0.7500)

---

Which of these has the lowest uncorrected energy?
ZnAu2Cl

---

What is the V in the first record?
19.41 Å³ per atom

---

Among the records above, which one has the lowest distance to the lowest polymorph of the same formula?
number 3